[1]
First-principles (PBE-GGA) data for crystalline Pr2DyAl12Fe3 at its relaxed geometry, as listed in Alexandria via LeMat-Bulk.

The total magnetization comes out at 0.00 μB/f.u. The calculation puts the total energy at -4.567 eV per atom. The calculation puts the calculated formation energy at 0.125 eV/atom.

a b c (Å): 7.989 7.989 7.989
angles (deg): 64.77 64.77 64.77
Element x y z (fractional)
Pr 0.583 0.583 0.583
Pr 0.417 0.417 0.417
Dy 0.000 0.000 0.000
Al 0.271 0.271 0.920
Al 0.839 0.839 0.473
Al 0.473 0.839 0.839
Al 0.920 0.271 0.271
Al 0.839 0.473 0.839
Al 0.271 0.920 0.271
Al 0.729 0.729 0.080
Al 0.161 0.161 0.527
Al 0.527 0.161 0.161
Al 0.080 0.729 0.729
Al 0.161 0.527 0.161
Al 0.729 0.080 0.729
Fe 0.500 0.000 0.000
Fe 0.000 0.500 0.000
Fe 0.000 0.000 0.500

[2]
First-principles (PBE-GGA) data for crystalline Dy3AlFeS7 at its relaxed geometry, as listed in Alexandria via LeMat-Bulk.

The total magnetization comes out at 0.00 μB/f.u. The value obtained for the formation energy (no corrections) is -1556 meV per atom. The calculation puts the total energy at -6.132 eV per atom.

a b c (Å): 9.457 9.457 6.203
angles (deg): 90.00 90.00 120.00
Element x y z (fractional)
Dy 0.786 0.161 0.223
Dy 0.375 0.214 0.223
Dy 0.839 0.625 0.223
Dy 0.214 0.839 0.723
Dy 0.625 0.786 0.723
Dy 0.161 0.375 0.723
Al 0.667 0.333 0.650
Al 0.333 0.667 0.150
Fe 0.000 0.000 0.074
Fe 0.000 0.000 0.574
S 0.879 0.096 0.828
S 0.217 0.121 0.828
S 0.904 0.783 0.828
S 0.121 0.904 0.328
S 0.783 0.879 0.328
S 0.096 0.217 0.328
S 0.914 0.437 0.499
S 0.523 0.086 0.499
S 0.563 0.477 0.499
S 0.086 0.563 0.999
S 0.477 0.914 0.999
S 0.437 0.523 0.999
S 0.667 0.333 0.011
S 0.333 0.667 0.511

[3]
First-principles (PBE-GGA) data for crystalline DyAlFeSi2 at its relaxed geometry, as listed in Alexandria via LeMat-Bulk.

The total magnetization comes out at 0.08 μB/f.u. The value obtained for the formation energy (no corrections) is -485 meV per atom. The calculation puts the total energy at -6.016 eV per atom.

a b c (Å): 5.536 5.409 5.412
angles (deg): 90.00 90.00 90.00
Site moments in Bohr magnetons follow the coordinates.
Element x y z (fractional)
Dy 0.222 0.250 0.500  -0.01
Dy 0.778 0.750 0.500  -0.01
Al 0.636 0.750 0.000  0.00
Al 0.364 0.250 0.000  0.00
Fe 0.000 0.000 0.000  0.11
Fe 0.000 0.500 0.000  0.11
Si 0.749 0.250 0.747  0.00
Si 0.749 0.250 0.253  0.00
Si 0.251 0.750 0.747  0.00
Si 0.251 0.750 0.253  0.00

[4]
First-principles (PBE-GGA) data for crystalline Dy2Al5ZnFe2 at its relaxed geometry, as listed in Alexandria via LeMat-Bulk.

The total magnetization comes out at 2.77 μB/f.u. The calculation puts the total energy at -4.884 eV per atom. The calculation puts the calculated formation energy at -0.272 eV/atom.

a b c (Å): 4.135 9.226 9.226
angles (deg): 90.00 90.00 90.00
Site moments in Bohr magnetons follow the coordinates.
Element x y z (fractional)
Dy 0.000 0.689 0.189  -0.05
Dy 0.000 0.311 0.811  -0.05
Dy 0.000 0.189 0.311  -0.05
Dy 0.000 0.811 0.689  -0.05
Al 0.500 0.214 0.058  -0.01
Al 0.500 0.786 0.942  -0.01
Al 0.500 0.058 0.786  -0.01
Al 0.500 0.714 0.442  -0.01
Al 0.500 0.942 0.214  -0.01
Al 0.500 0.286 0.558  -0.01
Al 0.500 0.558 0.714  -0.01
Al 0.500 0.442 0.286  -0.01
Al 0.500 0.500 0.000  -0.03
Al 0.500 0.000 0.500  -0.03
Zn 0.000 0.000 0.000  0.02
Zn 0.000 0.500 0.500  0.02
Fe 0.000 0.098 0.598  1.52
Fe 0.000 0.902 0.402  1.52
Fe 0.000 0.598 0.902  1.52
Fe 0.000 0.402 0.098  1.52

[5]
First-principles (PBE-GGA) data for crystalline Dy2AlGa2 at its relaxed geometry, as listed in Alexandria via LeMat-Bulk.

The total magnetization comes out at 0.00 μB/f.u. The calculation puts the total energy at -4.406 eV per atom. The calculation puts the calculated formation energy at -0.605 eV/atom.

a b c (Å): 4.358 5.875 9.487
angles (deg): 81.42 76.72 68.23
Element x y z (fractional)
Dy 0.316 0.269 0.099
Dy 0.497 0.328 0.679
Dy 0.684 0.731 0.901
Dy 0.503 0.672 0.321
Al 0.783 0.089 0.344
Al 0.217 0.911 0.656
Ga 0.974 0.164 0.888
Ga 0.139 0.286 0.436
Ga 0.026 0.836 0.112
Ga 0.861 0.714 0.564

[6]
First-principles (PBE-GGA) data for crystalline Dy4Al7Ga6 at its relaxed geometry, as listed in Alexandria via LeMat-Bulk.

The total magnetization comes out at 0.00 μB/f.u. The calculation puts the total energy at -4.143 eV per atom. The calculation puts the calculated formation energy at -0.451 eV/atom.

a b c (Å): 7.532 7.532 7.532
angles (deg): 109.47 109.47 109.47
Element x y z (fractional)
Dy 0.500 0.000 0.000
Dy 0.500 0.500 0.500
Dy 0.000 0.500 0.000
Dy 0.000 0.000 0.500
Al 0.750 0.500 0.250
Al 0.250 0.750 0.500
Al 0.500 0.750 0.250
Al 0.750 0.250 0.500
Al 0.250 0.500 0.750
Al 0.500 0.250 0.750
Al 0.000 0.000 0.000
Ga 0.692 0.000 0.692
Ga 0.692 0.692 0.000
Ga 0.000 0.308 0.308
Ga 0.308 0.000 0.308
Ga 0.308 0.308 0.000
Ga 0.000 0.692 0.692